Material: TlZn4Te
Method: DFT, PBE
State: relaxed

Results
* crystal system: cubic
* SG: F-43m
* V: 124.8 Å³/cell

```
TlZn4Te
1.0
0.000 3.966 3.966
3.966 0.000 3.966
3.966 3.966 0.000
Tl Zn Te
1 4 1
Direct
0.000 0.000 0.000
0.120 0.627 0.627
0.627 0.120 0.627
0.627 0.627 0.120
0.627 0.627 0.627
0.250 0.250 0.250
```

Material: TlZnTe2
Method: DFT, PBE
State: relaxed

Results
* crystal system: tetragonal
* SG: I-42d
* V: 295.2 Å³/cell

```
TlZnTe2
1.0
-3.382 3.382 6.450
3.382 -3.382 6.450
3.382 3.382 -6.450
Tl Zn Te
2 2 4
Direct
0.000 0.000 0.000
0.750 0.250 0.500
0.250 0.750 0.500
0.500 0.500 0.000
0.180 0.625 0.055
0.375 0.430 0.555
0.570 0.125 0.945
0.875 0.820 0.445
```

Material: TlZn2Te2
Method: DFT, PBE
State: relaxed

Results
* energy above the most stable polymorph in this dataset: 103.4 meV per atom
* crystal system: tetragonal
* SG: I4/mmm
* V: 136.6 Å³/cell

```
TlZn2Te2
1.0
-2.624 2.624 4.957
2.624 -2.624 4.957
2.624 2.624 -4.957
Tl Zn Te
1 2 2
Direct
0.000 0.000 0.000
0.376 0.376 0.000
0.624 0.624 0.000
0.250 0.750 0.500
0.750 0.250 0.500
```

Material: TlZn2Te
Method: DFT, PBE
State: relaxed

Results
* energy above the most stable polymorph in this dataset: 84.8 meV per atom
* crystal system: orthorhombic
* SG: Pmmm
* V: 102.5 Å³/cell

```
TlZn2Te
1.0
4.080 0.000 0.000
0.000 4.088 0.000
0.000 0.000 6.142
Tl Zn Te
1 2 1
Direct
0.000 0.000 0.000
0.000 0.500 0.500
0.500 0.500 0.000
0.500 0.000 0.500
```

Material: TlZnTe2
Method: DFT, PBE
State: relaxed

Results
* crystal system: orthorhombic
* SG: Cmmm
* V: 133.8 Å³/cell

```
TlZnTe2
1.0
2.082 -3.850 0.000
2.082 3.850 0.000
0.000 0.000 8.350
Tl Zn Te
1 1 2
Direct
0.000 0.000 0.000
0.000 0.000 0.500
0.500 0.500 0.289
0.500 0.500 0.711
```

Material: TlZn2Te
Method: DFT, PBE
State: relaxed

Results
* energy above the most stable polymorph in this dataset: 131.6 meV per atom
* crystal system: monoclinic
* SG: C2/m
* V: 101.1 Å³/cell

```
TlZn2Te
1.0
3.314 -3.878 0.000
3.314 3.878 0.000
-1.425 0.000 3.933
Tl Zn Te
1 2 1
Direct
0.000 0.000 0.000
0.000 0.500 0.500
0.500 0.000 0.500
0.500 0.500 0.000
```

Material: TlZn2Te
Method: DFT, PBE
State: relaxed

Results
* energy above the most stable polymorph in this dataset: 104.0 meV per atom
* crystal system: monoclinic
* SG: P2/m
* V: 99.3 Å³/cell

```
TlZn2Te
1.0
3.195 0.000 0.000
0.000 4.219 0.000
-0.217 0.000 7.366
Tl Zn Te
1 2 1
Direct
0.000 0.000 0.000
0.486 0.500 0.769
0.514 0.500 0.231
0.500 0.000 0.500
```

Material: TlZn2Te
Method: DFT, PBE
State: relaxed

Results
* energy above the most stable polymorph in this dataset: 76.5 meV per atom
* crystal system: tetragonal
* SG: I-42d
* V: 241.0 Å³/cell

```
TlZn2Te
1.0
-3.452 3.452 5.056
3.452 -3.452 5.056
3.452 3.452 -5.056
Tl Zn Te
2 4 2
Direct
0.000 0.000 0.000
0.750 0.250 0.500
0.138 0.625 0.013
0.375 0.388 0.513
0.612 0.125 0.987
0.875 0.862 0.487
0.250 0.750 0.500
0.500 0.500 0.000
```

Material: Tl2ZnTe3
Method: DFT, PBE
State: relaxed

Results
* crystal system: orthorhombic
* SG: Pnma
* V: 814.8 Å³/cell

```
Tl2ZnTe3
1.0
9.256 0.000 0.000
0.000 4.538 0.000
0.000 0.000 19.397
Tl Zn Te
8 4 12
Direct
0.086 0.250 0.103
0.140 0.250 0.297
0.360 0.750 0.797
0.414 0.750 0.603
0.586 0.250 0.397
0.640 0.250 0.203
0.860 0.750 0.703
0.914 0.750 0.897
0.056 0.750 0.443
0.444 0.250 0.943
0.556 0.750 0.057
0.944 0.250 0.557
0.088 0.250 0.799
0.149 0.250 0.655
0.202 0.250 0.478
0.298 0.750 0.978
0.351 0.750 0.155
0.412 0.750 0.299
0.588 0.250 0.701
0.649 0.250 0.845
0.702 0.250 0.022
0.798 0.750 0.522
0.851 0.750 0.345
0.912 0.750 0.201
```

Material: TlZn2Te
Method: DFT, PBE
State: relaxed

Results
* energy above the most stable polymorph in this dataset: 145.3 meV per atom
* crystal system: orthorhombic
* SG: Cmmm
* V: 96.5 Å³/cell

```
TlZn2Te
1.0
3.505 -3.508 0.000
3.505 3.508 0.000
0.000 0.000 3.925
Tl Zn Te
1 2 1
Direct
0.000 0.000 0.000
0.000 0.500 0.500
0.500 0.000 0.500
0.500 0.500 0.000
```

Material: TlZnTe4
Method: DFT, PBE
State: relaxed

Results
* crystal system: cubic
* SG: F-43m
* V: 193.5 Å³/cell

```
TlZnTe4
1.0
0.000 4.591 4.591
4.591 0.000 4.591
4.591 4.591 0.000
Tl Zn Te
1 1 4
Direct
0.000 0.000 0.000
0.750 0.750 0.750
0.376 0.376 0.376
0.376 0.376 0.872
0.376 0.872 0.376
0.872 0.376 0.376
```

Material: TlZnTe2
Method: DFT, PBE
State: relaxed

Results
* crystal system: orthorhombic
* SG: Imm2
* V: 121.8 Å³/cell

```
TlZnTe2
1.0
-1.681 2.111 8.578
1.681 -2.111 8.578
1.681 2.111 -8.578
Tl Zn Te
1 1 2
Direct
0.000 0.000 0.000
0.242 0.742 0.500
0.379 0.379 0.000
0.672 0.172 0.500
```

Material: TlZn2Te
Method: DFT, PBE
State: relaxed

Results
* energy above the most stable polymorph in this dataset: 151.4 meV per atom
* crystal system: cubic
* SG: Fm-3m
* V: 99.8 Å³/cell

```
TlZn2Te
1.0
0.000 3.681 3.681
3.681 0.000 3.681
3.681 3.681 0.000
Tl Zn Te
1 2 1
Direct
0.000 0.000 0.000
0.250 0.250 0.250
0.750 0.750 0.750
0.500 0.500 0.500
```

Material: TlZnTe2
Method: DFT, PBE
State: relaxed

Results
* crystal system: monoclinic
* SG: Cm
* V: 134.5 Å³/cell

```
TlZnTe2
1.0
3.867 -2.203 0.000
3.867 2.203 0.000
-1.583 0.000 7.893
Tl Zn Te
1 1 2
Direct
0.000 0.000 0.000
0.987 0.987 0.339
0.340 0.340 0.433
0.627 0.627 0.805
```

Material: TlZnTe2
Method: DFT, PBE
State: relaxed

Results
* crystal system: monoclinic
* SG: P2/m
* V: 116.7 Å³/cell

```
TlZnTe2
1.0
3.185 0.000 0.000
0.000 5.969 0.000
-1.268 0.000 6.139
Tl Zn Te
1 1 2
Direct
0.000 0.000 0.000
0.000 0.000 0.500
0.494 0.500 0.747
0.506 0.500 0.253
```

Material: TlZnTe2
Method: DFT, PBE
State: relaxed

Results
* crystal system: monoclinic
* SG: C2/m
* V: 117.4 Å³/cell

```
TlZnTe2
1.0
3.111 -6.033 0.000
3.111 6.033 0.000
-0.591 0.000 3.128
Tl Zn Te
1 1 2
Direct
0.000 0.000 0.000
0.500 0.500 0.000
0.000 0.500 0.500
0.500 0.000 0.500
```

Material: TlZnTe2
Method: DFT, PBE
State: relaxed

Results
* crystal system: tetragonal
* SG: P4/mmm
* V: 113.2 Å³/cell

```
TlZnTe2
1.0
5.866 0.000 0.000
0.000 5.866 0.000
0.000 0.000 3.289
Tl Zn Te
1 1 2
Direct
0.000 0.000 0.000
0.500 0.500 0.000
0.000 0.500 0.500
0.500 0.000 0.500
```

Material: TlZn2Te2
Method: DFT, PBE
State: relaxed

Results
* energy above the most stable polymorph in this dataset: 0.0 meV per atom
* crystal system: tetragonal
* SG: I4/mmm
* V: 143.9 Å³/cell

```
TlZn2Te2
1.0
-2.198 2.198 7.449
2.198 -2.198 7.449
2.198 2.198 -7.449
Tl Zn Te
1 2 2
Direct
0.000 0.000 0.000
0.250 0.750 0.500
0.750 0.250 0.500
0.364 0.364 0.000
0.636 0.636 0.000
```

Material: TlZn2Te
Method: DFT, PBE
State: relaxed

Results
* energy above the most stable polymorph in this dataset: 140.6 meV per atom
* crystal system: orthorhombic
* SG: Cmmm
* V: 99.0 Å³/cell

```
TlZn2Te
1.0
2.626 -2.777 0.000
2.626 2.777 0.000
0.000 0.000 6.786
Tl Zn Te
1 2 1
Direct
0.000 0.000 0.000
0.500 0.500 0.294
0.500 0.500 0.706
0.000 0.000 0.500
```

Material: TlZnTe2
Method: DFT, PBE
State: relaxed

Results
* crystal system: tetragonal
* SG: P4/mmm
* V: 119.3 Å³/cell

```
TlZnTe2
1.0
4.467 0.000 0.000
0.000 4.467 0.000
0.000 0.000 5.978
Tl Zn Te
1 1 2
Direct
0.000 0.000 0.000
0.500 0.500 0.000
0.000 0.500 0.500
0.500 0.000 0.500
```

Material: Tl8ZnTe6
Method: DFT, PBE
State: relaxed

Results
* crystal system: orthorhombic
* SG: Pmn2_1
* V: 1117.8 Å³/cell

```
Tl8ZnTe6
1.0
9.344 0.000 0.000
0.000 9.988 0.000
0.000 0.000 11.977
Tl Zn Te
16 2 12
Direct
0.000 0.224 0.112
0.000 0.238 0.682
0.209 0.583 0.500
0.215 0.700 0.783
0.232 0.955 0.490
0.268 0.045 0.990
0.285 0.300 0.283
0.291 0.417 0.000
0.500 0.762 0.182
0.500 0.776 0.612
0.709 0.417 0.000
0.715 0.300 0.283
0.732 0.045 0.990
0.768 0.955 0.490
0.785 0.700 0.783
0.791 0.583 0.500
0.000 0.747 0.192
0.500 0.253 0.692
0.000 0.446 0.851
0.000 0.513 0.300
0.000 0.953 0.709
0.000 0.982 0.300
0.230 0.729 0.051
0.270 0.271 0.551
0.500 0.018 0.800
0.500 0.047 0.209
0.500 0.487 0.800
0.500 0.554 0.351
0.730 0.271 0.551
0.770 0.729 0.051
```

Material: TlZnTe2
Method: DFT, PBE
State: relaxed

Results
* crystal system: tetragonal
* SG: P4mm
* V: 121.5 Å³/cell

```
TlZnTe2
1.0
4.159 0.000 0.000
0.000 4.159 0.000
0.000 0.000 7.024
Tl Zn Te
1 1 2
Direct
0.000 0.000 0.000
0.500 0.500 0.488
0.000 0.000 0.426
0.500 0.500 0.879
```

Material: TlZn2Te
Method: DFT, PBE
State: relaxed

Results
* energy above the most stable polymorph in this dataset: 98.3 meV per atom
* crystal system: orthorhombic
* SG: Immm
* V: 104.8 Å³/cell

```
TlZn2Te
1.0
-1.983 3.130 4.220
1.983 -3.130 4.220
1.983 3.130 -4.220
Tl Zn Te
1 2 1
Direct
0.000 0.000 0.000
0.263 0.763 0.500
0.737 0.237 0.500
0.500 0.500 0.000
```

Material: TlZn2Te
Method: DFT, PBE
State: relaxed

Results
* energy above the most stable polymorph in this dataset: 75.3 meV per atom
* crystal system: orthorhombic
* SG: Pmm2
* V: 99.1 Å³/cell

```
TlZn2Te
1.0
3.213 0.000 0.000
0.000 3.875 0.000
0.000 0.000 7.965
Tl Zn Te
1 2 1
Direct
0.000 0.000 0.000
0.000 0.000 0.398
0.500 0.500 0.252
0.500 0.500 0.621
```

Material: TlZnTe2
Method: DFT, PBE
State: relaxed

Results
* crystal system: orthorhombic
* SG: Pmmm
* V: 118.4 Å³/cell

```
TlZnTe2
1.0
3.166 0.000 0.000
0.000 5.959 0.000
0.000 0.000 6.274
Tl Zn Te
1 1 2
Direct
0.000 0.000 0.000
0.000 0.000 0.500
0.500 0.500 0.254
0.500 0.500 0.746
```

Material: TlZn2Te
Method: DFT, PBE
State: relaxed

Results
* energy above the most stable polymorph in this dataset: 47.1 meV per atom
* crystal system: orthorhombic
* SG: Imm2
* V: 101.4 Å³/cell

```
TlZn2Te
1.0
-1.997 2.025 6.272
1.997 -2.025 6.272
1.997 2.025 -6.272
Tl Zn Te
1 2 1
Direct
0.000 0.000 0.000
0.262 0.762 0.500
0.413 0.413 0.000
0.717 0.217 0.500
```

Material: TlZn2Te
Method: DFT, PBE
State: relaxed

Results
* energy above the most stable polymorph in this dataset: 22.8 meV per atom
* crystal system: monoclinic
* SG: Pm
* V: 107.1 Å³/cell

```
TlZn2Te
1.0
4.601 0.000 0.000
0.000 4.111 0.000
-1.629 0.000 5.663
Tl Zn Te
1 2 1
Direct
0.000 0.000 0.000
0.174 0.500 0.686
0.424 0.000 0.562
0.617 0.500 0.331
```

The following energy relative to the elements, uncorrected values (in kcal/mol of atoms) correspond, in order, to the records above: 3.77; -5.41; -1.80; 1.72; -0.73; 2.80; 2.16; 1.53; -5.83; 3.11; 4.74; -1.86; 3.25; -3.45; 2.34; 2.34; 2.16; -4.19; 3.00; 1.93; -5.58; -2.83; 2.03; 1.50; 2.46; 0.85; 0.29.
The following uncorrected energy values (in eV per cell) correspond, in order, to the records above: -9.623; -21.723; -11.588; -7.758; -10.050; -7.571; -7.681; -15.582; -67.798; -7.516; -14.973; -10.246; -7.491; -10.522; -9.518; -9.518; -9.549; -12.105; -7.535; -9.589; -85.362; -10.415; -7.704; -7.796; -9.497; -7.909; -8.006.